# PmV3B4O12 (GGA+U, optimized geometry)
data_PmV3B4O12
_chemical_formula_sum 'Pm1 V3 B4 O12'
_symmetry_space_group_name_H-M 'P 1'
_symmetry_Int_Tables_number 1
_symmetry_space_group_name_Hall 'P 1'
_cell_length_a 6.1724
_cell_length_b 6.1724
_cell_length_c 6.1724
_cell_angle_alpha 103.66
_cell_angle_beta 103.66
_cell_angle_gamma 103.66
loop_
_atom_site_label
_atom_site_fract_x
_atom_site_fract_y
_atom_site_fract_z
Pm1 0.0000 0.0000 0.0000
V1 0.0000 0.5517 0.4483
V2 0.4483 0.0000 0.5517
V3 0.5517 0.4483 0.0000
B1 0.0535 0.5000 0.9465
B2 0.5000 0.5000 0.5000
B3 0.5000 0.9465 0.0535
B4 0.9465 0.0535 0.5000
O1 0.0300 0.6292 0.7932
O2 0.0899 0.9101 0.5000
O3 0.2068 0.3708 0.9700
O4 0.3570 0.6430 0.5000
O5 0.3708 0.9700 0.2068
O6 0.5000 0.0899 0.9101
O7 0.5000 0.3570 0.6430
O8 0.6292 0.7932 0.0300
O9 0.6430 0.5000 0.3570
O10 0.7932 0.0300 0.6292
O11 0.9101 0.5000 0.0899
O12 0.9700 0.2068 0.3708
# **Volume**: 211.2 Å³/cell
# **Final energy**: -162.7 eV per formula unit
# **SG**: R32
# **Total magnetization**: 0.30 μB per atom